Model one:
Entry from the Alexandria database: a relaxed structure of MnBe3Mo (GGA-PBE).

Cell and atoms, written as POSCAR:
```
MnBe3Mo
1.0
4.2214 0.0000 0.0000
0.0000 4.2214 0.0000
0.0000 0.0000 4.2214
Mn Be Mo
1 3 1
direct
0.0000 0.0000 0.0000 Mn
0.0000 0.5000 0.5000 Be
0.5000 0.0000 0.5000 Be
0.5000 0.5000 0.0000 Be
0.5000 0.5000 0.5000 Mo
```

Computed properties:
V	15.0	Å³/atom

Model two:
Entry from the Alexandria database: a relaxed structure of MnBe3Mo (GGA-PBE).

Cell and atoms, written as POSCAR:
```
MnBe3Mo
1.0
3.8307 0.0000 0.0000
0.0000 3.8307 0.0000
0.0000 0.0000 3.8307
Mn Be Mo
1 3 1
direct
0.0000 0.0000 0.0000 Mn
0.0000 0.0000 0.5000 Be
0.0000 0.5000 0.0000 Be
0.5000 0.0000 0.0000 Be
0.5000 0.5000 0.5000 Mo
```

Computed properties:
V	11.2	Å³/atom

model two (0.452 eV/atom below the next structure)